Computed, not measured: a geometry-optimized Mn2W structure at the PBE level of DFT.

Properties
spin magnetization: 0.008 μB per cell
calculated volume: 166.5 Å³ per cell
offset from the most stable computed form: 792 meV/atom
energy relative to the elements: 68 kJ/mol of atoms

a = 5.6752 Å, b = 5.6752 Å, c = 5.1687 Å
α = 90.00°, β = 90.00°, γ = 90.00°
Closest atoms and distances in Å follow each position.
Sites, in units of the cell vectors:
Mn: 0.1379 0.3621 0.0000  1 Mn 2.21
Mn: 0.1379 0.6379 0.5000  1 Mn 2.21
Mn: 0.3621 0.1379 0.5000  1 Mn 2.21
Mn: 0.3621 0.8621 0.0000  1 Mn 2.21
Mn: 0.6379 0.1379 0.0000  1 Mn 2.21
Mn: 0.6379 0.8621 0.5000  1 Mn 2.21
Mn: 0.8621 0.3621 0.5000  1 Mn 2.21
Mn: 0.8621 0.6379 0.0000  1 Mn 2.21
W: 0.0000 0.0000 0.2500  8 Mn 2.55, 2 W 2.58
W: 0.0000 0.0000 0.7500  8 Mn 2.55, 2 W 2.58
W: 0.5000 0.5000 0.2500  8 Mn 2.55, 2 W 2.58
W: 0.5000 0.5000 0.7500  8 Mn 2.55, 2 W 2.58



Computed, not measured: a geometry-optimized HfNbFe2 structure at the PBE level of DFT.

Properties
spin magnetization: 1.041 μB per cell
calculated volume: 59.9 Å³ per cell
energy relative to the elements: -17 kJ/mol of atoms

a = 3.1004 Å, b = 3.1004 Å, c = 6.2307 Å
α = 90.00°, β = 90.00°, γ = 90.00°
Closest atoms and distances in Å follow each position.
Sites, in units of the cell vectors:
Hf: 0.0000 0.0000 0.0000  8 Fe 2.73
Nb: 0.0000 0.0000 0.5000  8 Fe 2.65
Fe: 0.5000 0.5000 0.2605  4 Nb 2.65, 4 Hf 2.73
Fe: 0.5000 0.5000 0.7395  4 Nb 2.65, 4 Hf 2.73



Computed, not measured: a geometry-optimized Cu3Ni structure at the PBE level of DFT.

Properties
spin magnetization: 0.000 μB per cell
calculated volume: 185.6 Å³ per cell
energy relative to the elements: 4 kJ/mol of atoms

a = 5.7045 Å, b = 5.7045 Å, c = 5.7045 Å
α = 90.00°, β = 90.00°, γ = 90.00°
Closest atoms and distances in Å follow each position.
Sites, in units of the cell vectors:
Cu: 0.0000 0.0000 0.0000  8 Cu 2.47
Cu: 0.0000 0.5000 0.5000  8 Cu 2.47
Cu: 0.2500 0.2500 0.2500  4 Ni 2.47, 4 Cu 2.47
Cu: 0.2500 0.2500 0.7500  4 Cu 2.47, 4 Ni 2.47
Cu: 0.2500 0.7500 0.2500  4 Ni 2.47, 4 Cu 2.47
Cu: 0.2500 0.7500 0.7500  4 Ni 2.47, 4 Cu 2.47
Cu: 0.5000 0.0000 0.5000  8 Cu 2.47
Cu: 0.5000 0.5000 0.0000  8 Cu 2.47
Cu: 0.7500 0.2500 0.2500  4 Ni 2.47, 4 Cu 2.47
Cu: 0.7500 0.2500 0.7500  4 Ni 2.47, 4 Cu 2.47
Cu: 0.7500 0.7500 0.2500  4 Ni 2.47, 4 Cu 2.47
Cu: 0.7500 0.7500 0.7500  4 Cu 2.47, 4 Ni 2.47
Ni: 0.0000 0.0000 0.5000  8 Cu 2.47
Ni: 0.0000 0.5000 0.0000  8 Cu 2.47
Ni: 0.5000 0.0000 0.0000  8 Cu 2.47
Ni: 0.5000 0.5000 0.5000  8 Cu 2.47



Computed, not measured: a geometry-optimized OsRh2Au structure at the PBE level of DFT.

Properties
spin magnetization: 0.000 μB per cell
calculated volume: 181.8 Å³ per cell
offset from the most stable computed form: 48 meV/atom
energy relative to the elements: 11 kJ/mol of atoms

a = 2.7815 Å, b = 2.7815 Å, c = 27.1326 Å
α = 90.00°, β = 90.00°, γ = 120.00°
Closest atoms and distances in Å follow each position.
Sites, in units of the cell vectors:
Os: 0.0000 0.0000 0.0000  6 Rh 2.66, 6 Os 2.78
Os: 0.3333 0.6667 0.6667  6 Rh 2.66, 6 Os 2.78
Os: 0.6667 0.3333 0.3333  6 Rh 2.66, 6 Os 2.78
Rh: 0.0000 0.0000 0.2554  3 Os 2.66, 6 Rh 2.78, 3 Au 2.89
Rh: 0.0000 0.0000 0.7446  3 Os 2.66, 6 Rh 2.78, 3 Au 2.89
Rh: 0.3333 0.6667 0.4113  3 Os 2.66, 6 Rh 2.78, 3 Au 2.89
Rh: 0.3333 0.6667 0.9221  3 Os 2.66, 6 Rh 2.78, 3 Au 2.89
Rh: 0.6667 0.3333 0.0779  3 Os 2.66, 6 Rh 2.78, 3 Au 2.89
Rh: 0.6667 0.3333 0.5887  3 Os 2.66, 6 Rh 2.78, 3 Au 2.89
Au: 0.0000 0.0000 0.5000  6 Au 2.78, 6 Rh 2.89
Au: 0.3333 0.6667 0.1667  6 Au 2.78, 6 Rh 2.89
Au: 0.6667 0.3333 0.8333  6 Au 2.78, 6 Rh 2.89



> What is the spin magnetization in the first record?

0.008 μB per cell